[1]
Material: CuPd3C
Method: DFT, PBE
State: optimized geometry

Output
- E_form: 118.8 kJ/mol of formula units
- Energy above the lowest structure with this stoichiometry: 0 meV per atom

abc: 4.103 4.103 4.103
angles: 90.00 90.00 90.00
Space group Pm-3m (No. 221)
One atom of each set of equivalent atoms:
Cu (0.000, 0.000, 0.000) [1 per cell]
Pd (0.000, 0.500, 0.500) [3 per cell]
C (0.500, 0.500, 0.500) [1 per cell]


[2]
Material: Cu3PdC
Method: DFT, PBE
State: optimized geometry

Output
- E_form: 1059.3 kJ/mol of formula units
- Energy above the lowest structure with this stoichiometry: 1917 meV per atom

abc: 4.638 4.638 4.638
angles: 90.00 90.00 90.00
Space group Pm-3m (No. 221)
One atom of each set of equivalent atoms:
Cu (0.000, 0.000, 0.500) [3 per cell]
Pd (0.000, 0.000, 0.000) [1 per cell]
C (0.500, 0.500, 0.500) [1 per cell]


[3]
Material: CuPdC3
Method: DFT, PBE
State: optimized geometry

Output
- E_form: 1264.7 kJ/mol of formula units
- Energy above the lowest structure with this stoichiometry: 0 meV per atom

abc: 3.817 3.817 3.817
angles: 90.00 90.00 90.00
Space group Pm-3m (No. 221)
One atom of each set of equivalent atoms:
Cu (0.000, 0.000, 0.000) [1 per cell]
Pd (0.500, 0.500, 0.500) [1 per cell]
C (0.000, 0.000, 0.500) [3 per cell]


[4]
Material: CuPd3C
Method: DFT, PBE
State: optimized geometry

Output
- E_form: 1002.3 kJ/mol of formula units
- Energy above the lowest structure with this stoichiometry: 1831 meV per atom

abc: 4.565 4.565 4.565
angles: 90.00 90.00 90.00
Space group Pm-3m (No. 221)
One atom of each set of equivalent atoms:
Cu (0.000, 0.000, 0.000) [1 per cell]
Pd (0.000, 0.000, 0.500) [3 per cell]
C (0.500, 0.500, 0.500) [1 per cell]


[5]
Material: CuPd2RhC
Method: DFT, PBE
State: optimized geometry

Output
- E_form: 630.5 kJ/mol of formula units

abc: 4.741 4.741 3.426
angles: 90.00 90.00 90.00
Space group P4/mmm (No. 123)
One atom of each set of equivalent atoms:
Cu (0.000, 0.000, 0.000) [1 per cell]
Pd (0.000, 0.500, 0.000) [2 per cell]
Rh (0.500, 0.500, 0.500) [1 per cell]
C (0.000, 0.000, 0.500) [1 per cell]


[6]
Material: CuSb2PdC
Method: DFT, PBE
State: optimized geometry

Output
- Formation energy (no corrections): 1.681 eV/atom

abc: 4.885 4.885 4.707
angles: 90.00 90.00 90.00
Space group P4/mmm (No. 123)
One atom of each set of equivalent atoms:
Cu (0.000, 0.000, 0.000) [1 per cell]
Sb (0.000, 0.500, 0.000) [2 per cell]
Pd (0.000, 0.000, 0.500) [1 per cell]
C (0.500, 0.500, 0.500) [1 per cell]


[7]
Material: Sc2CuPdC
Method: DFT, PBE
State: optimized geometry

Output
- E_form: -213.8 kJ/mol of formula units

abc: 4.533 4.533 3.786
angles: 90.00 90.00 90.00
Space group P4/mmm (No. 123)
One atom of each set of equivalent atoms:
Sc (0.000, 0.500, 0.000) [2 per cell]
Cu (0.000, 0.000, 0.500) [1 per cell]
Pd (0.500, 0.500, 0.500) [1 per cell]
C (0.000, 0.000, 0.000) [1 per cell]


[8]
Material: ScCuPd2C
Method: DFT, PBE
State: optimized geometry

Output
- E_form: 946.4 kJ/mol of formula units

abc: 4.710 4.710 4.783
angles: 90.00 90.00 90.00
Space group P4/mmm (No. 123)
One atom of each set of equivalent atoms:
Sc (0.000, 0.000, 0.000) [1 per cell]
Cu (0.000, 0.000, 0.500) [1 per cell]
Pd (0.000, 0.500, 0.000) [2 per cell]
C (0.500, 0.500, 0.500) [1 per cell]


[9]
Material: TiCuPdC2
Method: DFT, PBE
State: optimized geometry

Output
- E_form: 773.4 kJ/mol of formula units

abc: 3.936 3.936 4.786
angles: 90.00 90.00 90.00
Space group P4/mmm (No. 123)
One atom of each set of equivalent atoms:
Ti (0.000, 0.000, 0.000) [1 per cell]
Cu (0.000, 0.000, 0.500) [1 per cell]
Pd (0.500, 0.500, 0.500) [1 per cell]
C (0.000, 0.500, 0.000) [2 per cell]


[10]
Material: VCuPdC2
Method: DFT, PBE
State: optimized geometry

Output
- E_form: 989.6 kJ/mol of formula units

abc: 3.740 3.740 4.680
angles: 90.00 90.00 90.00
Space group P4/mmm (No. 123)
One atom of each set of equivalent atoms:
V (0.000, 0.000, 0.000) [1 per cell]
Cu (0.500, 0.500, 0.500) [1 per cell]
Pd (0.500, 0.500, 0.000) [1 per cell]
C (0.000, 0.500, 0.500) [2 per cell]


[11]
Material: Y2CuPdC
Method: DFT, PBE
State: optimized geometry

Output
- E_form: -196.9 kJ/mol of formula units
- Energy above the lowest structure with this stoichiometry: 0 meV per atom

abc: 4.948 4.948 3.778
angles: 90.00 90.00 90.00
Space group P4/mmm (No. 123)
One atom of each set of equivalent atoms:
Y (0.000, 0.500, 0.000) [2 per cell]
Cu (0.000, 0.000, 0.500) [1 per cell]
Pd (0.500, 0.500, 0.500) [1 per cell]
C (0.000, 0.000, 0.000) [1 per cell]


[12]
Material: Y2CuPdC
Method: DFT, PBE
State: optimized geometry

Output
- E_form: -128.3 kJ/mol of formula units
- Energy above the lowest structure with this stoichiometry: 142 meV per atom

abc: 4.899 4.899 4.012
angles: 90.00 90.00 90.00
Space group P4/mmm (No. 123)
One atom of each set of equivalent atoms:
Y (0.000, 0.500, 0.000) [2 per cell]
Cu (0.000, 0.000, 0.500) [1 per cell]
Pd (0.500, 0.500, 0.500) [1 per cell]
C (0.500, 0.500, 0.000) [1 per cell]


[13]
Material: PrCuC
Method: DFT, PBE
State: optimized geometry

Output
- E_form: 97.8 kJ/mol of formula units

abc: 3.862 3.862 14.126
angles: 90.00 90.00 90.00
Space group I4/mmm (No. 139)
One atom of each set of equivalent atoms:
Pr (0.000, 0.000, 0.111) [4 per cell]
Cu (0.000, 0.000, 0.307) [4 per cell]
C (0.000, 0.000, 0.453) [4 per cell]


[14]
Material: Pr2CuC
Method: DFT, PBE
State: optimized geometry

Output
- E_form: 123.0 kJ/mol of formula units

abc: 3.6643 3.6643 26.1059
angles: 90.00 90.00 120.00
Space group R-3m (No. 166, hexagonal axes)
One atom of each set of equivalent atoms:
Pr (0.0000, 0.0000, 0.1118) [6 per cell]
Cu (0.0000, 0.0000, 0.0000) [3 per cell]
C (0.0000, 0.0000, 0.5000) [3 per cell]


[15]
Material: Pr2CuRuC
Method: DFT, PBE
State: optimized geometry

Output
- E_form: -74.2 kJ/mol of formula units

abc: 5.225 5.225 3.887
angles: 90.00 90.00 90.00
Space group P4/mmm (No. 123)
One atom of each set of equivalent atoms:
Pr (0.000, 0.500, 0.000) [2 per cell]
Cu (0.000, 0.000, 0.500) [1 per cell]
Ru (0.500, 0.500, 0.500) [1 per cell]
C (0.500, 0.500, 0.000) [1 per cell]


[16]
Material: Cu3PtC
Method: DFT, PBE
State: optimized geometry

Output
- E_form: 169.5 kJ/mol of formula units
- Energy above the lowest structure with this stoichiometry: 0 meV per atom

abc: 3.885 3.885 3.885
angles: 90.00 90.00 90.00
Space group Pm-3m (No. 221)
One atom of each set of equivalent atoms:
Cu (0.000, 0.000, 0.500) [3 per cell]
Pt (0.500, 0.500, 0.500) [1 per cell]
C (0.000, 0.000, 0.000) [1 per cell]


[17]
Material: CuPt3C
Method: DFT, PBE
State: optimized geometry

Output
- E_form: 170.6 kJ/mol of formula units
- Energy above the lowest structure with this stoichiometry: 0 meV per atom

abc: 4.139 4.139 4.139
angles: 90.00 90.00 90.00
Space group Pm-3m (No. 221)
One atom of each set of equivalent atoms:
Cu (0.000, 0.000, 0.000) [1 per cell]
Pt (0.000, 0.500, 0.500) [3 per cell]
C (0.500, 0.500, 0.500) [1 per cell]


[18]
Material: CuPtC2
Method: DFT, PBE
State: optimized geometry

Output
- E_form: 696.1 kJ/mol of formula units
- Energy above the lowest structure with this stoichiometry: 601 meV per atom

abc: 5.416 5.416 5.416
angles: 90.00 90.00 90.00
Space group Fm-3m (No. 225)
One atom of each set of equivalent atoms:
Cu (0.000, 0.000, 0.000) [4 per cell]
Pt (0.000, 0.000, 0.500) [4 per cell]
C (0.250, 0.250, 0.250) [8 per cell]


[19]
Material: CuPt4C2
Method: DFT, PBE
State: optimized geometry

Output
- E_form: 708.9 kJ/mol of formula units

abc: 4.647 4.647 10.122
angles: 90.00 90.00 90.00
Space group I4/mmm (No. 139)
One atom of each set of equivalent atoms:
Cu (0.000, 0.000, 0.000) [2 per cell]
Pt (0.000, 0.000, 0.246) [4 per cell]
Pt (0.000, 0.500, 0.000) [4 per cell]
C (0.000, 0.000, 0.434) [4 per cell]


[20]
Material: CuPtC2
Method: DFT, PBE
State: optimized geometry

Output
- E_form: 464.0 kJ/mol of formula units
- Energy above the lowest structure with this stoichiometry: 0 meV per atom

abc: 4.655 4.655 9.154
angles: 90.00 90.00 90.00
Space group I-42d (No. 122)
One atom of each set of equivalent atoms:
Cu (0.000, 0.000, 0.000) [4 per cell]
Pt (0.000, 0.000, 0.500) [4 per cell]
C (0.247, 0.250, 0.625) [8 per cell]


[21]
Material: Cu2PtC
Method: DFT, PBE
State: optimized geometry

Output
- E_form: 237.5 kJ/mol of formula units

abc: 7.016 7.016 4.075
angles: 90.00 90.00 90.00
Space group I-42d (No. 122)
One atom of each set of equivalent atoms:
Cu (0.149, 0.250, 0.125) [8 per cell]
Pt (0.000, 0.000, 0.500) [4 per cell]
C (0.000, 0.000, 0.000) [4 per cell]


[22]
Material: CuPt3C
Method: DFT, PBE
State: optimized geometry

Output
- E_form: 1128.3 kJ/mol of formula units
- Energy above the lowest structure with this stoichiometry: 1985 meV per atom

abc: 4.549 4.549 4.549
angles: 90.00 90.00 90.00
Space group Pm-3m (No. 221)
One atom of each set of equivalent atoms:
Cu (0.000, 0.000, 0.000) [1 per cell]
Pt (0.000, 0.000, 0.500) [3 per cell]
C (0.500, 0.500, 0.500) [1 per cell]


[23]
Material: Cu3PtC
Method: DFT, PBE
State: optimized geometry

Output
- E_form: 1033.0 kJ/mol of formula units
- Energy above the lowest structure with this stoichiometry: 1790 meV per atom

abc: 4.680 4.680 4.680
angles: 90.00 90.00 90.00
Space group Pm-3m (No. 221)
One atom of each set of equivalent atoms:
Cu (0.000, 0.000, 0.500) [3 per cell]
Pt (0.000, 0.000, 0.000) [1 per cell]
C (0.500, 0.500, 0.500) [1 per cell]


[24]
Material: CuSbPt2C
Method: DFT, PBE
State: optimized geometry

Output
- Formation energy (no corrections): 1.977 eV/atom

abc: 4.649 4.649 4.660
angles: 90.00 90.00 90.00
Space group P4/mmm (No. 123)
One atom of each set of equivalent atoms:
Cu (0.000, 0.000, 0.000) [1 per cell]
Sb (0.000, 0.000, 0.500) [1 per cell]
Pt (0.000, 0.500, 0.000) [2 per cell]
C (0.500, 0.500, 0.500) [1 per cell]


[25]
Material: Sr2CuPtC
Method: DFT, PBE
State: optimized geometry

Output
- E_form: -83.3 kJ/mol of formula units

abc: 5.508 5.508 3.876
angles: 90.00 90.00 90.00
Space group P4/mmm (No. 123)
One atom of each set of equivalent atoms:
Sr (0.000, 0.500, 0.000) [2 per cell]
Cu (0.000, 0.000, 0.500) [1 per cell]
Pt (0.500, 0.500, 0.500) [1 per cell]
C (0.500, 0.500, 0.000) [1 per cell]


[26]
Material: TlCuPtC2
Method: DFT, PBE
State: optimized geometry

Output
- E_form: 729.3 kJ/mol of formula units

abc: 3.859 3.859 6.691
angles: 90.00 90.00 90.00
Space group P4/mmm (No. 123)
One atom of each set of equivalent atoms:
Tl (0.000, 0.000, 0.000) [1 per cell]
Cu (0.500, 0.500, 0.000) [1 per cell]
Pt (0.000, 0.000, 0.500) [1 per cell]
C (0.000, 0.500, 0.500) [2 per cell]


[27]
Material: V2CuPtC
Method: DFT, PBE
State: optimized geometry

Output
- E_form: 1067.2 kJ/mol of formula units

abc: 4.336 4.336 4.488
angles: 90.00 90.00 90.00
Space group P4/mmm (No. 123)
One atom of each set of equivalent atoms:
V (0.000, 0.500, 0.000) [2 per cell]
Cu (0.000, 0.000, 0.000) [1 per cell]
Pt (0.000, 0.000, 0.500) [1 per cell]
C (0.500, 0.500, 0.500) [1 per cell]


[28]
Material: YCu2PtC
Method: DFT, PBE
State: optimized geometry

Output
- E_form: 11.4 kJ/mol of formula units

abc: 4.077 4.077 4.403
angles: 90.00 90.00 90.00
Space group P4/mmm (No. 123)
One atom of each set of equivalent atoms:
Y (0.000, 0.000, 0.000) [1 per cell]
Cu (0.000, 0.500, 0.500) [2 per cell]
Pt (0.500, 0.500, 0.000) [1 per cell]
C (0.500, 0.500, 0.500) [1 per cell]


[29]
Material: Pu2CuC
Method: DFT, PBE
State: optimized geometry

Output
- E_form: 56.1 kJ/mol of formula units
- Energy above the lowest structure with this stoichiometry: 0 meV per atom

abc: 3.4070 3.4070 22.6668
angles: 90.00 90.00 120.00
Space group R-3m (No. 166, hexagonal axes)
One atom of each set of equivalent atoms:
Pu (0.0000, 0.0000, 0.2311) [6 per cell]
Cu (0.0000, 0.0000, 0.0000) [3 per cell]
C (0.0000, 0.0000, 0.5000) [3 per cell]


| no. | energy (eV/atom) | calculated volume (Å³ per atom) |
| --- | --- | --- |
| 1 | -5.533 | 13.81 |
| 2 | -3.145 | 19.96 |
| 3 | -4.771 | 11.12 |
| 4 | -3.702 | 19.03 |
| 5 | -4.904 | 15.40 |
| 6 | -3.670 | 22.47 |
| 7 | -6.678 | 15.56 |
| 8 | -4.046 | 21.22 |
| 9 | -5.523 | 14.83 |
| 10 | -5.320 | 13.09 |
| 11 | -6.696 | 18.50 |
| 12 | -6.554 | 19.26 |
| 13 | -5.695 | 17.56 |
| 14 | -5.401 | 25.30 |
| 15 | -6.585 | 21.22 |
| 16 | -5.159 | 11.73 |
| 17 | -5.935 | 14.18 |
| 18 | -5.343 | 9.93 |
| 19 | -5.623 | 15.61 |
| 20 | -5.944 | 12.40 |
| 21 | -5.249 | 12.54 |
| 22 | -3.950 | 18.82 |
| 23 | -3.369 | 20.50 |
| 24 | -3.928 | 20.14 |
| 25 | -4.718 | 23.51 |
| 26 | -4.679 | 19.93 |
| 27 | -5.307 | 16.88 |
| 28 | -5.960 | 14.64 |
| 29 | -10.351 | 18.99 |